CePm4Ag5: relaxed, PBE-GGA.

Calculated values
* symmetry: P4/mmm (123)
* DFT total energy: -41.433 eV/cell
* formation energy: -224 meV per atom

Cell lengths 3.691, 3.691, 19.052 Å; angles 90.00, 90.00, 90.00 degrees
Element x y z (fractional)
Ce  0.000  0.000  0.000
Pm  0.000  0.000  0.201
Pm  0.000  0.000  0.400
Pm  0.000  0.000  0.600
Pm  0.000  0.000  0.799
Ag  0.500  0.500  0.104
Ag  0.500  0.500  0.301
Ag  0.500  0.500  0.500
Ag  0.500  0.500  0.699
Ag  0.500  0.500  0.896

Y6CuTe3: relaxed, PBE-GGA.

Calculated values
* symmetry: P2_1/m (11)
* DFT total energy: -119.982 eV/cell
* raw formation energy: -7.685 eV/f.u.

Cell lengths 11.076, 4.049, 13.257 Å; angles 90.00, 105.82, 90.00 degrees
Element x y z (fractional)
Y  0.027  0.250  0.348
Y  0.061  0.250  0.893
Y  0.279  0.750  0.334
Y  0.303  0.750  0.764
Y  0.388  0.750  0.112
Y  0.400  0.250  0.560
Y  0.600  0.750  0.440
Y  0.612  0.250  0.888
Y  0.697  0.250  0.236
Y  0.721  0.250  0.666
Y  0.939  0.750  0.107
Y  0.973  0.750  0.652
Cu  0.458  0.250  0.296
Cu  0.542  0.750  0.704
Te  0.164  0.250  0.150
Te  0.172  0.750  0.526
Te  0.348  0.250  0.936
Te  0.652  0.750  0.064
Te  0.828  0.250  0.474
Te  0.836  0.750  0.850

La6Pt2SBr3: relaxed, PBE-GGA.

Calculated values
* symmetry: C2/m (12)
* DFT total energy: -68.164 eV/cell
* raw formation energy: -17.371 eV/f.u.

Cell lengths 7.448, 7.448, 7.848 Å; angles 99.16, 99.16, 119.68 degrees
Element x y z (fractional)
La  0.088  0.429  0.788
La  0.228  0.228  0.208
La  0.429  0.088  0.788
La  0.571  0.912  0.212
La  0.772  0.772  0.792
La  0.912  0.571  0.212
Pt  0.167  0.833  0.000
Pt  0.833  0.167  0.000
S  0.500  0.500  0.000
Br  0.000  0.000  0.500
Br  0.340  0.660  0.500
Br  0.660  0.340  0.500